Here is a relaxed Rb2TcRuI crystal from Alexandria via LeMat-Bulk. Energies are from PBE-GGA.

As for the calculated density: 3.91 Mg/m³. For the uncorrected formation energy, the calculation gives 3.47 eV per formula unit.

The space group is P4/mmm (No. 123) and the conventional cell measures 6.844, 6.844 and 4.503 Å, with angles of 90.00, 90.00 and 90.00 degrees. Symmetry generates all atoms from Rb at (0.000, 0.500, 0.000), Tc at (0.000, 0.000, 0.000), Ru at (0.000, 0.000, 0.500) and I at (0.500, 0.500, 0.500).